Entry 1:
Below is a geometry-optimized PtC2 structure, with properties calculated at the PBE level.

Values from the calculation:
Energy of formation: 265 kJ/mol of formula units
Space-group type: No. 12
Magnetization: 0.000 μB per cell

Unit cell a=3.1956 b=3.1956 c=4.0446 alpha=113.19 beta=113.19 gamma=60.08
Closest atoms and distances in Å follow each position.
Fractional positions:
Pt 0.0000 0.0000 0.0000  6 C 2.16
C 0.4369 0.4369 0.3124  1 C 1.35
C 0.5631 0.5631 0.6876  1 C 1.35

Entry 2:
Below is a geometry-optimized K2InCl structure, with properties calculated at the PBE level.

Values from the calculation:
Space-group type: No. 225
Magnetization: 0.000 μB per cell
Uncorrected formation energy: -0.5063 eV per atom

Unit cell a=6.0264 b=6.0264 c=6.0264 alpha=60.00 beta=60.00 gamma=60.00
Closest atoms and distances in Å follow each position.
Fractional positions:
K 0.2500 0.2500 0.2500  4 In 3.69, 4 Cl 3.69
K 0.7500 0.7500 0.7500  4 Cl 3.69, 4 In 3.69
In 0.0000 0.0000 0.0000  8 K 3.69
Cl 0.5000 0.5000 0.5000  8 K 3.69

Entry 3:
Below is a geometry-optimized Nd4In3Au structure, with properties calculated at the PBE level.

Values from the calculation:
Energy of formation: -429 kJ/mol of formula units
Space-group type: No. 123
Magnetization: 0.000 μB per cell

Unit cell a=3.6851 b=3.6851 c=16.6425 alpha=90.00 beta=90.00 gamma=90.00
Closest atoms and distances in Å follow each position.
Fractional positions:
Nd 0.0000 0.0000 0.1122  4 Au 3.21, 4 In 3.38
Nd 0.0000 0.0000 0.3709  8 In 3.38, 4 Nd 3.69
Nd 0.0000 0.0000 0.6291  8 In 3.38, 4 Nd 3.69
Nd 0.0000 0.0000 0.8878  4 Au 3.21, 4 In 3.38
In 0.5000 0.5000 0.2415  8 Nd 3.38, 4 In 3.69
In 0.5000 0.5000 0.5000  8 Nd 3.38, 4 In 3.69
In 0.5000 0.5000 0.7585  8 Nd 3.38, 4 In 3.69
Au 0.5000 0.5000 0.0000  8 Nd 3.21

Entry 4:
Below is a geometry-optimized Ti3I7Br structure, with properties calculated at the PBE level.

Values from the calculation:
Space-group type: No. 156
Magnetization: 1.982 μB per cell
Uncorrected formation energy: -0.7881 eV per atom

Unit cell a=7.7473 b=7.7473 c=7.4796 alpha=90.00 beta=90.00 gamma=120.00
Closest atoms and distances in Å follow each position.
Fractional positions:
Ti 0.0524 0.5262 0.0000  1 Br 2.62, 4 I 2.74-2.87
Ti 0.4738 0.5262 0.0000  1 Br 2.62, 4 I 2.74-2.87
Ti 0.4738 0.9476 0.0000  1 Br 2.62, 4 I 2.74-2.87
I 0.1678 0.3357 0.7611  2 Ti 2.74
I 0.1678 0.8322 0.7611  2 Ti 2.74
I 0.3326 0.1663 0.2045  2 Ti 2.87
I 0.6643 0.8322 0.7611  2 Ti 2.74
I 0.6667 0.3333 0.8002  3 Ti 2.99
I 0.8337 0.1663 0.2045  2 Ti 2.87
I 0.8337 0.6674 0.2045  2 Ti 2.87
Br 0.3333 0.6667 0.2443  3 Ti 2.62

Entry 5:
Below is a geometry-optimized CoPS2N structure, with properties calculated at the PBE level.

Values from the calculation:
Space-group type: No. 8
Magnetization: 0.000 μB per cell
Uncorrected formation energy: 0.0255 eV per atom

Unit cell a=5.3040 b=5.3040 c=4.7267 alpha=103.72 beta=103.72 gamma=31.61
Closest atoms and distances in Å follow each position.
Fractional positions:
Co 0.0000 0.0000 0.0000  1 N 2.10, 4 S 2.21-2.30, 1 P 2.22
P 0.7951 0.7951 0.0839  2 N 1.72
S 0.4306 0.4306 0.6391  1 S 2.10, 2 Co 2.21
S 0.5732 0.5732 0.3856  1 S 2.10, 2 Co 2.30
N 0.2037 0.2037 0.9796  2 P 1.72

Entry 6:
Below is a geometry-optimized HoFeGe2Rh structure, with properties calculated at the PBE level.

Values from the calculation:
Energy of formation: -318 kJ/mol of formula units
Space-group type: No. 119
Magnetization: 0.001 μB per cell

Unit cell a=5.7957 b=5.7957 c=5.7957 alpha=138.57 beta=138.57 gamma=60.02
Closest atoms and distances in Å follow each position.
Fractional positions:
Ho 0.0000 0.0000 0.0000  8 Ge 3.16, 4 Fe 3.24, 4 Rh 3.24
Fe 0.7500 0.2500 0.5000  4 Ge 2.40
Ge 0.3736 0.3736 0.0000  2 Fe 2.40, 2 Rh 2.40, 1 Ge 2.54
Ge 0.6264 0.6264 0.0000  2 Fe 2.40, 2 Rh 2.40, 1 Ge 2.54
Rh 0.2500 0.7500 0.5000  4 Ge 2.40

Entry 7:
Below is a geometry-optimized MnGa2Cl structure, with properties calculated at the PBE level.

Values from the calculation:
Space-group type: No. 225
Magnetization: 3.913 μB per cell
Uncorrected formation energy: 0.2933 eV per atom

Unit cell a=4.8657 b=4.8657 c=4.8657 alpha=60.00 beta=60.00 gamma=60.00
Closest atoms and distances in Å follow each position.
Fractional positions:
Mn 0.0000 0.0000 0.0000  8 Ga 2.98
Ga 0.2500 0.2500 0.2500  4 Mn 2.98, 4 Cl 2.98
Ga 0.7500 0.7500 0.7500  4 Cl 2.98, 4 Mn 2.98
Cl 0.5000 0.5000 0.5000  8 Ga 2.98

Entry 8:
Below is a geometry-optimized YHo6Th3 structure, with properties calculated at the PBE level.

Values from the calculation:
Energy of formation: 71 kJ/mol of formula units
Space-group type: No. 11
Magnetization: 0.000 μB per cell

Unit cell a=12.9635 b=3.4967 c=14.2874 alpha=90.00 beta=99.95 gamma=90.00
Closest atoms and distances in Å follow each position.
Fractional positions:
Y 0.0376 0.2500 0.2243  5 Ho 3.31-3.66, 2 Y 3.50, 2 Th 3.59
Y 0.9624 0.7500 0.7757  5 Ho 3.31-3.66, 2 Y 3.50, 2 Th 3.59
Ho 0.1244 0.2500 0.9869  8 Ho 3.50-3.77, 2 Th 3.71, 3 Y 3.75-3.79
Ho 0.1921 0.7500 0.4265  5 Th 3.41-3.56, 5 Ho 3.50-3.57, 2 Y 3.66
Ho 0.2196 0.7500 0.7859  3 Th 3.28-3.47, 1 Y 3.31, 5 Ho 3.50-3.62
Ho 0.2703 0.7500 0.2038  7 Ho 3.47-3.77, 3 Th 3.54-3.62, 2 Y 3.54
Ho 0.3467 0.2500 0.6192  4 Th 3.40-3.53, 8 Ho 3.50-3.58
Ho 0.4980 0.2500 0.1895  4 Th 3.29-3.45, 7 Ho 3.47-3.62
Ho 0.5020 0.7500 0.8105  4 Th 3.29-3.45, 7 Ho 3.47-3.62
Ho 0.6533 0.7500 0.3808  4 Th 3.40-3.53, 8 Ho 3.50-3.58
Ho 0.7297 0.2500 0.7962  7 Ho 3.47-3.77, 3 Th 3.54-3.62, 2 Y 3.54
Ho 0.7804 0.2500 0.2141  3 Th 3.28-3.47, 1 Y 3.31, 5 Ho 3.50-3.62
Ho 0.8079 0.2500 0.5735  5 Th 3.41-3.56, 5 Ho 3.50-3.57, 2 Y 3.66
Ho 0.8756 0.7500 0.0131  8 Ho 3.50-3.77, 2 Th 3.71, 3 Y 3.75-3.79
Th 0.0741 0.2500 0.5981  6 Ho 3.41-3.56, 4 Th 3.50-3.57, 2 Y 3.59
Th 0.3774 0.7500 0.9922  5 Ho 3.28-3.54, 4 Th 3.50-3.60
Th 0.4222 0.2500 0.4027  8 Ho 3.36-3.62, 4 Th 3.50-3.60
Th 0.5778 0.7500 0.5973  8 Ho 3.36-3.62, 4 Th 3.50-3.60
Th 0.6226 0.2500 0.0078  5 Ho 3.28-3.54, 4 Th 3.50-3.60
Th 0.9259 0.7500 0.4019  6 Ho 3.41-3.56, 4 Th 3.50-3.57, 2 Y 3.59

Entry 9:
Below is a geometry-optimized LiSmScHg structure, with properties calculated at the PBE level.

Values from the calculation:
Energy of formation: -71 kJ/mol of formula units
Space-group type: No. 216
Magnetization: 0.149 μB per cell

Unit cell a=5.1379 b=5.1379 c=5.1379 alpha=60.00 beta=60.00 gamma=60.00
Closest atoms and distances in Å follow each position.
Fractional positions:
Li 0.0000 0.0000 0.0000  4 Sc 3.15, 4 Sm 3.15
Sm 0.2500 0.2500 0.2500  4 Hg 3.15, 4 Li 3.15
Sc 0.7500 0.7500 0.7500  4 Hg 3.15, 4 Li 3.15
Hg 0.5000 0.5000 0.5000  4 Sc 3.15, 4 Sm 3.15

Entry 10:
Below is a geometry-optimized Tm2PuCd structure, with properties calculated at the PBE level.

Values from the calculation:
Energy of formation: 0 kJ/mol of formula units
Space-group type: No. 123
Magnetization: 6.609 μB per cell

Unit cell a=5.4197 b=5.4197 c=3.5832 alpha=90.00 beta=90.00 gamma=90.00
Closest atoms and distances in Å follow each position.
Fractional positions:
Tm 0.0000 0.5000 0.0000  4 Cd 3.25, 4 Pu 3.25, 2 Tm 3.58
Tm 0.5000 0.0000 0.0000  4 Cd 3.25, 4 Pu 3.25, 2 Tm 3.58
Pu 0.0000 0.0000 0.5000  8 Tm 3.25, 2 Pu 3.58
Cd 0.5000 0.5000 0.5000  8 Tm 3.25, 2 Cd 3.58

Entry 11:
Below is a geometry-optimized Dy6Tl2N structure, with properties calculated at the PBE level.

Values from the calculation:
Space-group type: No. 225
Magnetization: 0.000 μB per cell
Uncorrected formation energy: -0.5685 eV per atom

Unit cell a=6.8686 b=6.8686 c=6.8686 alpha=60.00 beta=60.00 gamma=60.00
Closest atoms and distances in Å follow each position.
Fractional positions:
Dy 0.2444 0.2444 0.7556  1 N 2.37
Dy 0.2444 0.7556 0.2444  1 N 2.37
Dy 0.2444 0.7556 0.7556  1 N 2.37
Dy 0.7556 0.2444 0.2444  1 N 2.37
Dy 0.7556 0.2444 0.7556  1 N 2.37
Dy 0.7556 0.7556 0.2444  1 N 2.37
Tl 0.2500 0.2500 0.2500  12 Dy 3.43
Tl 0.7500 0.7500 0.7500  12 Dy 3.43
N 0.0000 0.0000 0.0000  6 Dy 2.37

Entry 12:
Below is a geometry-optimized HgSbTe2Pt structure, with properties calculated at the PBE level.

Values from the calculation:
Space-group type: No. 123
Magnetization: 0.000 μB per cell
Uncorrected formation energy: 0.3345 eV per atom

Unit cell a=5.5182 b=5.5182 c=5.1259 alpha=90.00 beta=90.00 gamma=90.00
Closest atoms and distances in Å follow each position.
Fractional positions:
Hg 0.0000 0.0000 0.0000  8 Te 3.77, 4 Sb 3.90
Sb 0.5000 0.5000 0.0000  2 Pt 2.56
Te 0.0000 0.5000 0.5000  2 Pt 2.76
Te 0.5000 0.0000 0.5000  2 Pt 2.76
Pt 0.5000 0.5000 0.5000  2 Sb 2.56, 4 Te 2.76